VASP calculation (GGA-PBE) on Nd5Y12Hg3 after structural relaxation.

Output
As for the volume: 37.13 A^3/atom. The calculation puts the total moment at 0.2 μB per cell. The calculation puts the energy of formation from the pure elements at 772.3 meV per atom. Its symmetry is Ia-3d (230).

Cell lengths 15.6852, 15.6852, 15.6852 Å; angles 109.47, 109.47, 109.47 degrees
Element x y z (fractional)
Y: 0.1443 0.4108 0.0693
Y: 0.6443 0.0750 0.2335
Y: 0.2335 0.5750 0.6443
Y: 0.0750 0.6443 0.7335
Y: 0.2335 0.6585 0.0892
Y: 0.6585 0.2335 0.5892
Y: 0.4307 0.0750 0.3415
Y: 0.0892 0.9307 0.3557
Y: 0.7335 0.5892 0.1585
Y: 0.9250 0.3557 0.2665
Y: 0.9307 0.8415 0.5750
Y: 0.7335 0.1443 0.0750
Y: 0.4108 0.2665 0.3415
Y: 0.5750 0.2335 0.1443
Y: 0.8415 0.9108 0.2665
Y: 0.5892 0.8557 0.4307
Y: 0.9108 0.8415 0.7665
Y: 0.9108 0.0693 0.6443
Y: 0.0892 0.1585 0.2335
Y: 0.2665 0.4108 0.8415
Y: 0.1443 0.7335 0.5750
Y: 0.2665 0.8557 0.9250
Y: 0.0693 0.1585 0.4250
Y: 0.8415 0.9307 0.0750
Y: 0.4108 0.1443 0.5693
Y: 0.8557 0.2665 0.4250
Y: 0.9250 0.5693 0.1585
Y: 0.1585 0.0892 0.7335
Y: 0.5693 0.9250 0.6585
Y: 0.4307 0.3557 0.5892
Y: 0.4250 0.7665 0.8557
Y: 0.0693 0.9108 0.1443
Y: 0.9307 0.0892 0.8557
Y: 0.8557 0.5892 0.9307
Y: 0.0750 0.4307 0.8415
Y: 0.5750 0.3415 0.9307
Y: 0.6443 0.5693 0.9108
Y: 0.4250 0.6585 0.0693
Y: 0.1585 0.0693 0.9250
Y: 0.5892 0.7335 0.6585
Y: 0.5693 0.6443 0.4108
Y: 0.7665 0.4250 0.3557
Y: 0.7665 0.3415 0.9108
Y: 0.3415 0.7665 0.4108
Y: 0.3415 0.5750 0.4307
Y: 0.3557 0.9250 0.7665
Y: 0.3557 0.4307 0.0892
Y: 0.6585 0.4250 0.5693
Nd: 0.6250 0.7500 0.8750
Nd: 0.3750 0.2500 0.1250
Nd: 0.7500 0.6250 0.3750
Nd: 0.0000 0.0000 0.5000
Nd: 0.5000 0.0000 0.5000
Nd: 0.2500 0.3750 0.6250
Nd: 0.8750 0.6250 0.7500
Nd: 0.3750 0.1250 0.7500
Nd: 0.5000 0.0000 0.0000
Nd: 0.5000 0.5000 0.5000
Nd: 0.2500 0.8750 0.1250
Nd: 0.7500 0.1250 0.8750
Nd: 0.1250 0.3750 0.2500
Nd: 0.8750 0.2500 0.6250
Nd: 0.1250 0.7500 0.3750
Nd: 0.0000 0.5000 0.0000
Nd: 0.5000 0.5000 0.0000
Nd: 0.6250 0.8750 0.2500
Nd: 0.0000 0.0000 0.0000
Nd: 0.0000 0.5000 0.5000
Hg: 0.1250 0.2500 0.8750
Hg: 0.7500 0.8750 0.6250
Hg: 0.3750 0.7500 0.6250
Hg: 0.3750 0.6250 0.2500
Hg: 0.7500 0.3750 0.1250
Hg: 0.8750 0.1250 0.2500
Hg: 0.2500 0.1250 0.3750
Hg: 0.6250 0.2500 0.3750
Hg: 0.1250 0.8750 0.7500
Hg: 0.6250 0.3750 0.7500
Hg: 0.2500 0.6250 0.8750
Hg: 0.8750 0.7500 0.1250